MnGaF4 | GGA+U | optimized geometry

Computed properties:
- total energy (eV for the cell shown) = -64.0
- SG = Cmmm, No. 65

abc: 7.036 7.076 3.357
angles: 90.00 90.00 90.00
Atoms (fractional coordinates):
Mn  0.000  0.000  0.000
Mn  0.500  0.500  0.000
Ga  0.000  0.500  0.500
Ga  0.500  0.000  0.500
F  0.000  0.308  0.000
F  0.000  0.692  0.000
F  0.194  0.000  0.500
F  0.306  0.500  0.500
F  0.500  0.192  0.000
F  0.500  0.808  0.000
F  0.694  0.500  0.500
F  0.806  0.000  0.500